(1)
Material: CuTcAgPd2
Method: DFT, meta-GGA SCAN
State: PBEsol geometry

```
CuTcAgPd2
1.0
4.6457 0.0000 0.0000
0.0000 4.6457 0.0000
0.0000 0.0000 4.5802
Cu Tc Ag Pd
1 1 1 2
direct
0.0000 0.0000 0.0000
0.0000 0.0000 0.5000
0.5000 0.5000 0.0000
0.0000 0.5000 0.5000
0.5000 0.0000 0.5000
```

Computed properties:
Uncorrected energy = -28.15 eV per atom

=====

(2)
Material: Pr2CuAg
Method: DFT, meta-GGA SCAN
State: PBEsol geometry

```
Pr2CuAg
1.0
3.6105 0.0000 0.0000
0.0000 3.6105 0.0000
0.0000 0.0000 7.3239
Pr Cu Ag
2 1 1
direct
0.0000 0.0000 0.2343
0.0000 0.0000 0.7657
0.5000 0.5000 0.0000
0.5000 0.5000 0.5000
```

Computed properties:
Uncorrected energy = -33.53 eV per atom

=====

(3)
Material: Cu2AgPt
Method: DFT, meta-GGA SCAN
State: PBEsol geometry

```
Cu2AgPt
1.0
-1.4221 2.1659 4.3883
1.4221 -2.1659 4.3883
1.4221 2.1659 -4.3883
Cu Ag Pt
2 1 1
direct
0.0000 0.0000 0.0000
0.7728 0.2728 0.5000
0.5208 0.5208 0.0000
0.2480 0.7480 0.5000
```

Computed properties:
Offset from the most stable computed form = 54 meV per atom

=====

(4)
Material: Cu2AgPt
Method: DFT, meta-GGA SCAN
State: PBEsol geometry

```
Cu2AgPt
1.0
2.7374 0.0000 0.0000
0.0000 3.6862 0.0000
0.0000 0.0000 5.4120
Cu Ag Pt
2 1 1
direct
0.0000 0.0000 0.0000
0.5000 0.5000 0.2377
0.5000 0.5000 0.7559
0.0000 0.0000 0.4699
```

Computed properties:
Offset from the most stable computed form = 78 meV per atom

=====

(5)
Material: Cu2AgPt
Method: DFT, meta-GGA SCAN
State: PBEsol geometry

```
Cu2AgPt
1.0
2.7773 0.0000 0.0000
0.0000 2.7773 0.0000
0.0000 0.0000 7.0428
Cu Ag Pt
2 1 1
direct
0.0000 0.0000 0.2422
0.0000 0.0000 0.7578
0.5000 0.5000 0.5000
0.5000 0.5000 0.0000
```

Computed properties:
Offset from the most stable computed form = 26 meV per atom

=====

(6)
Material: CuAgPt
Method: DFT, meta-GGA SCAN
State: PBEsol geometry

```
CuAgPt
1.0
0.0000 2.3137 6.8218
1.3802 0.0000 6.8218
1.3802 2.3137 0.0000
Cu Ag Pt
1 1 1
direct
0.0000 0.0000 0.0000
0.3380 0.3380 0.6620
0.6581 0.6581 0.3419
```

Computed properties:
Offset from the most stable computed form = 52 meV per atom

=====

(7)
Material: Cu2AgPt
Method: DFT, meta-GGA SCAN
State: PBEsol geometry

```
Cu2AgPt
1.0
4.6343 -1.3942 0.0000
4.6343 1.3942 0.0000
-1.4249 0.0000 4.1828
Cu Ag Pt
2 1 1
direct
0.0000 0.0000 0.0000
0.7258 0.7258 0.3018
0.2469 0.2469 0.8151
0.4756 0.4756 0.4801
```

Computed properties:
Offset from the most stable computed form = 32 meV per atom

=====

(8)
Material: CuAgPt
Method: DFT, meta-GGA SCAN
State: PBEsol geometry

```
CuAgPt
1.0
2.7327 0.0000 0.0000
-1.3664 2.3666 0.0000
0.0000 0.0000 6.6558
Cu Ag Pt
1 1 1
direct
0.0000 0.0000 0.0000
0.6667 0.3333 0.3245
0.3333 0.6667 0.6851
```

Computed properties:
Offset from the most stable computed form = 0 meV per atom

=====

(9)
Material: Cu2AgPt
Method: DFT, meta-GGA SCAN
State: PBEsol geometry

```
Cu2AgPt
1.0
2.7650 0.0000 0.0000
0.0000 3.5508 0.0000
0.0000 0.0000 5.5387
Cu Ag Pt
2 1 1
direct
0.0000 0.0000 0.2392
0.0000 0.0000 0.7608
0.5000 0.5000 0.5000
0.5000 0.5000 0.0000
```

Computed properties:
Offset from the most stable computed form = 28 meV per atom

=====

(10)
Material: CuAgPt
Method: DFT, meta-GGA SCAN
State: PBEsol geometry

```
CuAgPt
1.0
-1.3956 1.3956 5.4913
1.3956 -1.3956 5.4913
1.3956 1.3956 -5.4913
Cu Ag Pt
1 1 1
direct
0.0000 0.0000 0.0000
0.3362 0.3362 0.0000
0.6516 0.6516 0.0000
```

Computed properties:
Offset from the most stable computed form = 8 meV per atom

=====

(11)
Material: Cu2AgPt
Method: DFT, meta-GGA SCAN
State: PBEsol geometry

```
Cu2AgPt
1.0
0.0000 2.9990 2.9990
2.9990 0.0000 2.9990
2.9990 2.9990 0.0000
Cu Ag Pt
2 1 1
direct
0.2500 0.2500 0.2500
0.7500 0.7500 0.7500
0.0000 0.0000 0.0000
0.5000 0.5000 0.5000
```

Computed properties:
Offset from the most stable computed form = 35 meV per atom

=====

(12)
Material: Cu2AgPt
Method: DFT, meta-GGA SCAN
State: PBEsol geometry

```
Cu2AgPt
1.0
-1.9978 1.9978 3.3886
1.9978 -1.9978 3.3886
1.9978 1.9978 -3.3886
Cu Ag Pt
2 1 1
direct
0.2500 0.7500 0.5000
0.7500 0.2500 0.5000
0.0000 0.0000 0.0000
0.5000 0.5000 0.0000
```

Computed properties:
Offset from the most stable computed form = 30 meV per atom

=====

(13)
Material: Cu2AgPt
Method: DFT, meta-GGA SCAN
State: PBEsol geometry

```
Cu2AgPt
1.0
2.7938 -3.4655 0.0000
2.7938 3.4655 0.0000
0.0000 0.0000 2.7888
Cu Ag Pt
2 1 1
direct
0.0000 0.5000 0.0000
0.5000 0.0000 0.0000
0.0000 0.0000 0.5000
0.5000 0.5000 0.5000
```

Computed properties:
Offset from the most stable computed form = 0 meV per atom

=====

(14)
Material: YCuAg2Pt
Method: DFT, meta-GGA SCAN
State: PBEsol geometry

```
YCuAg2Pt
1.0
4.9602 0.0000 0.0000
0.0000 4.9602 0.0000
0.0000 0.0000 4.6129
Y Cu Ag Pt
1 1 2 1
direct
0.0000 0.0000 0.0000
0.5000 0.5000 0.0000
0.0000 0.5000 0.5000
0.5000 0.0000 0.5000
0.5000 0.5000 0.5000
```

Computed properties:
Uncorrected energy = -34.88 eV per atom

=====

(15)
Material: Rb2CuAgTe
Method: DFT, meta-GGA SCAN
State: PBEsol geometry

```
Rb2CuAgTe
1.0
6.1167 0.0000 0.0000
0.0000 6.1167 0.0000
0.0000 0.0000 4.7928
Rb Cu Ag Te
2 1 1 1
direct
0.0000 0.5000 0.0000
0.5000 0.0000 0.0000
0.0000 0.0000 0.0000
0.0000 0.0000 0.5000
0.5000 0.5000 0.5000
```

Computed properties:
Formation energy without anion corrections = 0.003 eV/atom